(1)
The following is a DFT calculation (PBE) of Ta6NbW3 after structural relaxation.

Geometry as CIF:
```
data_Ta6NbW3
_chemical_formula_sum 'Ta12 Nb2 W6'
_symmetry_space_group_name_H-M 'P 1 21/m 1'
_symmetry_Int_Tables_number 11
_cell_length_a 8.036
_cell_length_b 4.616
_cell_length_c 9.786
_cell_angle_alpha 90.00
_cell_angle_beta 105.05
_cell_angle_gamma 90.00
loop_
_symmetry_equiv_pos_as_xyz
'x,y,z'
'-x,-y,-z'
'-x,y+1/2,-z'
'x,-y+1/2,z'
loop_
_atom_site_label
_atom_site_fract_x
_atom_site_fract_y
_atom_site_fract_z
_atom_site_occupancy
Ta1 0.048 0.250 0.402 1
Ta2 0.145 0.750 0.200 1
Ta3 0.242 0.250 0.995 1
Ta4 0.340 0.750 0.796 1
Ta5 0.352 0.250 0.298 1
Ta6 0.445 0.250 0.598 1
Nb1 0.450 0.750 0.101 1
W1 0.048 0.750 0.898 1
W2 0.148 0.250 0.698 1
W3 0.252 0.750 0.498 1
```

***

(2)
The following is a DFT calculation (PBE) of Ta2Nb3W6 after structural relaxation.

Geometry as CIF:
```
data_Ta2Nb3W6
_chemical_formula_sum 'Ta4 Nb6 W12'
_symmetry_space_group_name_H-M 'I m m m'
_symmetry_Int_Tables_number 71
_symmetry_space_group_name_Hall '-I 2 2'
_cell_length_a 2.636
_cell_length_b 4.794
_cell_length_c 30.318
_cell_angle_alpha 90.00
_cell_angle_beta 90.00
_cell_angle_gamma 90.00
loop_
_atom_site_label
_atom_site_fract_x
_atom_site_fract_y
_atom_site_fract_z
_atom_site_occupancy
Ta1 0.000 0.000 0.047 1
Nb1 0.000 0.000 0.314 1
Nb2 0.000 0.000 0.500 1
W1 0.000 0.000 0.224 1
W2 0.000 0.500 0.096 1
W3 0.000 0.500 0.365 1
```

***

(3)
The following is a DFT calculation (PBE) of Ta5NbW after structural relaxation.

Geometry as CIF:
```
data_Ta5NbW
_chemical_formula_sum 'Ta5 Nb1 W1'
_symmetry_space_group_name_H-M 'P 4/m m m'
_symmetry_Int_Tables_number 123
_symmetry_space_group_name_Hall '-P 4 2'
_cell_length_a 4.570
_cell_length_b 4.570
_cell_length_c 6.484
_cell_angle_alpha 90.00
_cell_angle_beta 90.00
_cell_angle_gamma 90.00
loop_
_atom_site_label
_atom_site_fract_x
_atom_site_fract_y
_atom_site_fract_z
_atom_site_occupancy
Ta1 0.000 0.000 0.000 1
Ta2 0.000 0.500 0.261 1
Nb1 0.500 0.500 0.000 1
W1 0.500 0.500 0.500 1
```

***

(4)
# TaNb2W | Alexandria via LeMat-Bulk | PBE | optimized geometry
# excess energy over the best structure of this formula in the dataset	0.007	eV per atom
data_TaNb2W
_chemical_formula_sum 'Ta4 Nb8 W4'
_symmetry_space_group_name_H-M 'F m -3 m'
_symmetry_Int_Tables_number 225
_symmetry_space_group_name_Hall '-F 4 2 3'
_cell_length_a 6.554
_cell_length_b 6.554
_cell_length_c 6.554
_cell_angle_alpha 90.00
_cell_angle_beta 90.00
_cell_angle_gamma 90.00
loop_
_atom_site_label
_atom_site_fract_x
_atom_site_fract_y
_atom_site_fract_z
_atom_site_occupancy
Ta1 0.000 0.000 0.000 1
Nb1 0.250 0.250 0.250 1
W1 0.000 0.000 0.500 1

***

Number 1: ΔE_f -0.07 eV per atom, E_tot -12.072 eV/atom, spin magnetization 0.00 μB/f.u.. Number 2: ΔE_f 0.38 eV per atom, E_tot -11.586 eV/atom, spin magnetization 0.00 μB/f.u.. Number 3: ΔE_f 0.34 eV per atom, E_tot -11.415 eV/atom, spin magnetization 0.00 μB/f.u.. Number 4: ΔE_f -0.03 eV per atom, E_tot -11.264 eV/atom, spin magnetization 0.00 μB/f.u..